Entry 1:
# LaSnP2Rh5

A relaxed structure of LaSnP2Rh5 (GGA-PBE, Alexandria via LeMat-Bulk).

## Properties
Space group: No. 123
M_tot (μB per formula unit): 0.00
E_form (eV/atom): -0.7757

Lattice parameters (Å, degrees): 4.0906 4.0906 10.0996 90.00 90.00 90.00
Positions (direct):
La: 0.0000 0.0000 0.0000
Sn: 0.0000 0.0000 0.5000
P: 0.5000 0.5000 0.2257
P: 0.5000 0.5000 0.7743
Rh: 0.0000 0.5000 0.3254
Rh: 0.0000 0.5000 0.6746
Rh: 0.5000 0.0000 0.3254
Rh: 0.5000 0.0000 0.6746
Rh: 0.5000 0.5000 0.0000

Entry 2:
# La3SnP2Rh9

A relaxed structure of La3SnP2Rh9 (GGA-PBE, Alexandria via LeMat-Bulk).

## Properties
Space group: No. 164
M_tot (μB per formula unit): 0.00
E_form (eV/atom): -0.6781

Lattice parameters (Å, degrees): 6.1010 6.1010 9.3573 90.00 90.00 120.00
Positions (direct):
La: 0.0000 0.0000 0.0000
La: 0.3333 0.6667 0.6874
La: 0.6667 0.3333 0.3126
Sn: 0.0000 0.0000 0.5000
P: 0.3333 0.6667 0.1566
P: 0.6667 0.3333 0.8434
Rh: 0.0000 0.5000 0.0000
Rh: 0.1526 0.3052 0.2733
Rh: 0.1526 0.8474 0.2733
Rh: 0.3052 0.1526 0.7267
Rh: 0.5000 0.0000 0.0000
Rh: 0.5000 0.5000 0.0000
Rh: 0.6948 0.8474 0.2733
Rh: 0.8474 0.1526 0.7267
Rh: 0.8474 0.6948 0.7267

Entry 3:
# La2SnP3Rh12

A relaxed structure of La2SnP3Rh12 (GGA-PBE, Alexandria via LeMat-Bulk).

## Properties
Space group: No. 166
M_tot (μB per formula unit): 0.00
E_form (eV/atom): -0.2807

Lattice parameters (Å, degrees): 7.3668 7.3668 7.3668 68.16 68.16 68.16
Positions (direct):
La: 0.1033 0.1033 0.1033
La: 0.8967 0.8967 0.8967
Sn: 0.5000 0.5000 0.5000
P: 0.0000 0.5000 0.5000
P: 0.5000 0.0000 0.5000
P: 0.5000 0.5000 0.0000
Rh: 0.1142 0.6418 0.6418
Rh: 0.1640 0.1640 0.5925
Rh: 0.1640 0.5925 0.1640
Rh: 0.3582 0.3582 0.8858
Rh: 0.3582 0.8858 0.3582
Rh: 0.4075 0.8360 0.8360
Rh: 0.5925 0.1640 0.1640
Rh: 0.6418 0.1142 0.6418
Rh: 0.6418 0.6418 0.1142
Rh: 0.8360 0.4075 0.8360
Rh: 0.8360 0.8360 0.4075
Rh: 0.8858 0.3582 0.3582

Entry 4:
# La2SnP3Rh4

A relaxed structure of La2SnP3Rh4 (GGA-PBE, Alexandria via LeMat-Bulk).

## Properties
Space group: No. 115
M_tot (μB per formula unit): 0.00
E_form (eV/atom): -0.9735

Lattice parameters (Å, degrees): 4.1387 4.1387 10.6454 90.00 90.00 90.00
Positions (direct):
La: 0.0000 0.5000 0.2398
La: 0.5000 0.0000 0.7602
Sn: 0.0000 0.0000 0.5000
P: 0.0000 0.5000 0.8733
P: 0.5000 0.0000 0.1267
P: 0.5000 0.5000 0.5000
Rh: 0.0000 0.0000 0.0000
Rh: 0.0000 0.5000 0.6538
Rh: 0.5000 0.0000 0.3462
Rh: 0.5000 0.5000 0.0000

Entry 5:
# La2TaP3Rh12

A relaxed structure of La2TaP3Rh12 (GGA-PBE, Alexandria via LeMat-Bulk).

## Properties
Space group: No. 166
M_tot (μB per formula unit): 0.00
E_form (eV/atom): -0.2795

Lattice parameters (Å, degrees): 7.0241 7.0241 7.0241 75.08 75.08 75.08
Positions (direct):
La: 0.1086 0.1086 0.1086
La: 0.8914 0.8914 0.8914
Ta: 0.5000 0.5000 0.5000
P: 0.0000 0.5000 0.5000
P: 0.5000 0.0000 0.5000
P: 0.5000 0.5000 0.0000
Rh: 0.1344 0.6531 0.6531
Rh: 0.1780 0.1780 0.5869
Rh: 0.1780 0.5869 0.1780
Rh: 0.3469 0.3469 0.8656
Rh: 0.3469 0.8656 0.3469
Rh: 0.4131 0.8220 0.8220
Rh: 0.5869 0.1780 0.1780
Rh: 0.6531 0.1344 0.6531
Rh: 0.6531 0.6531 0.1344
Rh: 0.8220 0.4131 0.8220
Rh: 0.8220 0.8220 0.4131
Rh: 0.8656 0.3469 0.3469

Entry 6:
# La2TbP3Rh4

A relaxed structure of La2TbP3Rh4 (GGA-PBE, Alexandria via LeMat-Bulk).

## Properties
Space group: No. 115
M_tot (μB per formula unit): 0.00
E_form (eV/atom): -1.0863

Lattice parameters (Å, degrees): 4.0659 4.0659 11.3283 90.00 90.00 90.00
Positions (direct):
La: 0.0000 0.5000 0.2270
La: 0.5000 0.0000 0.7730
Tb: 0.0000 0.0000 0.5000
P: 0.0000 0.5000 0.8793
P: 0.5000 0.0000 0.1207
P: 0.5000 0.5000 0.5000
Rh: 0.0000 0.0000 0.0000
Rh: 0.0000 0.5000 0.6705
Rh: 0.5000 0.0000 0.3295
Rh: 0.5000 0.5000 0.0000

Entry 7:
# LaTbP2Rh5

A relaxed structure of LaTbP2Rh5 (GGA-PBE, Alexandria via LeMat-Bulk).

## Properties
Space group: No. 123
M_tot (μB per formula unit): 0.00
E_form (eV/atom): -0.9964

Lattice parameters (Å, degrees): 4.1591 4.1591 8.9284 90.00 90.00 90.00
Positions (direct):
La: 0.0000 0.0000 0.0000
Tb: 0.0000 0.0000 0.5000
P: 0.5000 0.5000 0.1579
P: 0.5000 0.5000 0.8421
Rh: 0.0000 0.5000 0.2659
Rh: 0.0000 0.5000 0.7341
Rh: 0.5000 0.0000 0.2659
Rh: 0.5000 0.0000 0.7341
Rh: 0.5000 0.5000 0.5000

Entry 8:
# LaTcP2Rh

A relaxed structure of LaTcP2Rh (GGA-PBE, Alexandria via LeMat-Bulk).

## Properties
Space group: No. 119
M_tot (μB per formula unit): 0.01
E_form (eV/atom): -1.0568

Lattice parameters (Å, degrees): 6.1608 6.1608 6.1608 141.47 141.47 55.62
Positions (direct):
La: 0.0000 0.0000 0.0000
Tc: 0.7500 0.2500 0.5000
P: 0.3597 0.3597 0.0000
P: 0.6403 0.6403 0.0000
Rh: 0.2500 0.7500 0.5000